Entry 1:
# KIn2Au (GGA-PBEsol, optimized geometry)
data_KIn2Au
_cell_length_a 4.5524
_cell_length_b 5.2479
_cell_length_c 8.5650
_cell_angle_alpha 90.00
_cell_angle_beta 90.00
_cell_angle_gamma 90.00
_space_group_name_H-M_alt 'I m m 2'
_space_group_IT_number 44
_space_group_name_Hall 'I 2 -2'
loop_
_atom_site_label
_atom_site_type_symbol
_atom_site_fract_x
_atom_site_fract_y
_atom_site_fract_z
K1 K 0.0000 0.0000 0.0000
In1 In 0.0000 0.0000 0.4647
In2 In 0.0000 0.5000 0.2238
Au1 Au 0.0000 0.5000 0.7725
# ΔH_f (0 K)   -18 meV/atom
# DFT total energy   -0.2039 Ry per atom

***

Entry 2:
# KIn2Au (GGA-PBEsol, optimized geometry)
data_KIn2Au
_cell_length_a 4.6793
_cell_length_b 4.6793
_cell_length_c 18.6637
_cell_angle_alpha 90.00
_cell_angle_beta 90.00
_cell_angle_gamma 120.00
_space_group_name_H-M_alt 'R 3 m'
_space_group_IT_number 160
_space_group_name_Hall 'R 3 -2"'
loop_
_atom_site_label
_atom_site_type_symbol
_atom_site_fract_x
_atom_site_fract_y
_atom_site_fract_z
K1 K 0.0000 0.0000 0.0000
In1 In 0.0000 0.0000 0.2056
In2 In 0.0000 0.0000 0.4545
Au1 Au 0.0000 0.0000 0.8195
# ΔH_f (0 K)   -201 meV/atom
# DFT total energy   -0.2173 Ry per atom

***

Entry 3:
# KIn2Au (GGA-PBEsol, optimized geometry)
data_KIn2Au
_cell_length_a 3.2789
_cell_length_b 5.6184
_cell_length_c 11.2467
_cell_angle_alpha 90.00
_cell_angle_beta 90.00
_cell_angle_gamma 90.00
_space_group_name_H-M_alt 'I m m m'
_space_group_IT_number 71
_space_group_name_Hall '-I 2 2'
loop_
_atom_site_label
_atom_site_type_symbol
_atom_site_fract_x
_atom_site_fract_y
_atom_site_fract_z
K1 K 0.0000 0.0000 0.0000
In1 In 0.0000 0.5000 0.2072
Au1 Au 0.0000 0.0000 0.5000
# ΔH_f (0 K)   -145 meV/atom
# DFT total energy   -0.2132 Ry per atom

***

Entry 4:
# KIn2Au2 (GGA-PBEsol, optimized geometry)
data_KIn2Au2
_cell_length_a 4.6824
_cell_length_b 4.6824
_cell_length_c 11.4454
_cell_angle_alpha 90.00
_cell_angle_beta 90.00
_cell_angle_gamma 90.00
_space_group_name_H-M_alt 'I 4/m m m'
_space_group_IT_number 139
_space_group_name_Hall '-I 4 2'
loop_
_atom_site_label
_atom_site_type_symbol
_atom_site_fract_x
_atom_site_fract_y
_atom_site_fract_z
K1 K 0.0000 0.0000 0.0000
In1 In 0.0000 0.5000 0.2500
Au1 Au 0.0000 0.0000 0.3823
# ΔH_f (0 K)   -262 meV/atom
# DFT total energy   -0.2390 Ry per atom

***

Entry 5:
# KIn2Au4 (GGA-PBEsol, optimized geometry)
data_KIn2Au4
_cell_length_a 8.6204
_cell_length_b 8.6204
_cell_length_c 8.3668
_cell_angle_alpha 90.00
_cell_angle_beta 90.00
_cell_angle_gamma 90.00
_space_group_name_H-M_alt 'I 4/m c m'
_space_group_IT_number 140
_space_group_name_Hall '-I 4 2c'
loop_
_atom_site_label
_atom_site_type_symbol
_atom_site_fract_x
_atom_site_fract_y
_atom_site_fract_z
K1 K 0.0000 0.0000 0.2500
In1 In 0.1468 0.3532 0.0000
Au1 Au 0.1496 0.3504 0.3348
# ΔH_f (0 K)   -273 meV/atom
# DFT total energy   -0.2594 Ry per atom

***

Entry 6:
# KInAu (GGA-PBEsol, optimized geometry)
data_KInAu
_cell_length_a 3.6985
_cell_length_b 3.6985
_cell_length_c 12.1795
_cell_angle_alpha 90.00
_cell_angle_beta 90.00
_cell_angle_gamma 90.00
_space_group_name_H-M_alt 'I 4 m m'
_space_group_IT_number 107
_space_group_name_Hall 'I 4 -2'
loop_
_atom_site_label
_atom_site_type_symbol
_atom_site_fract_x
_atom_site_fract_y
_atom_site_fract_z
K1 K 0.0000 0.0000 0.0000
In1 In 0.0000 0.0000 0.2842
Au1 Au 0.0000 0.0000 0.7009
# ΔH_f (0 K)   -168 meV/atom
# DFT total energy   -0.2093 Ry per atom

***

Question: What is the ΔH_f (0 K) in the third record?
Answer: -145 meV/atom